Entry 1:
The following is a DFT calculation (PBE) of an optimized crystal structure of Dy2ScSn3.

a b c (Å): 5.024 6.139 10.779
angles (deg): 90.00 90.00 90.00
Space group Immm (No. 71)
Symmetry-distinct sites (fractional):
Dy  0.000  0.000  0.175 x4
Sc  0.000  0.000  0.500 x2
Sn  0.000  0.500  0.148 x4
Sn  0.000  0.500  0.500 x2

**M_tot**: 0.00 μB/cell
**Raw total energy**: -5.117 eV/atom
**D(E_F)**: 4.68 states/eV/f.u.
**Formation energy**: -0.526 eV/atom

=====

Entry 2:
The following is a DFT calculation (PBE) of an optimized crystal structure of Dy4ScSn2.

a b c (Å): 5.3054 5.3054 26.7693
angles (deg): 90.00 90.00 120.00
Space group R-3m (No. 166, hexagonal axes)
Symmetry-distinct sites (fractional):
Dy  0.0000  0.0000  0.1272 x6
Dy  0.0000  0.0000  0.2785 x6
Sc  0.0000  0.0000  0.5000 x3
Sn  0.0000  0.0000  0.3938 x6

**M_tot**: 0.00 μB/cell
**Raw total energy**: -4.930 eV/atom
**D(E_F)**: 8.03 states/eV/f.u.
**Formation energy**: -0.252 eV/atom

=====

Entry 3:
The following is a DFT calculation (PBE) of an optimized crystal structure of Dy2Sc8Sn.

a b c (Å): 16.785 6.011 5.641
angles (deg): 90.00 96.23 90.00
Space group C2/m (No. 12)
Symmetry-distinct sites (fractional):
Dy  0.216  0.000  0.002 x4
Sc  0.019  0.000  0.759 x4
Sc  0.091  0.500  0.994 x4
Sc  0.156  0.255  0.491 x8
Sn  0.000  0.500  0.500 x2

**M_tot**: 0.98 μB/cell
**Raw total energy**: -5.812 eV/atom
**D(E_F)**: 18.79 states/eV/f.u.
**Formation energy**: -0.007 eV/atom

=====

Entry 4:
The following is a DFT calculation (PBE) of an optimized crystal structure of DySc4Sn.

a b c (Å): 3.430 18.684 9.485
angles (deg): 90.00 90.00 90.00
Space group Cmcm (No. 63)
Symmetry-distinct sites (fractional):
Dy  0.000  0.104  0.250 x4
Sc  0.000  0.078  0.750 x4
Sc  0.000  0.327  0.029 x8
Sc  0.000  0.500  0.000 x4
Sn  0.000  0.248  0.750 x4

**M_tot**: 0.01 μB/cell
**Raw total energy**: -5.879 eV/atom
**D(E_F)**: 9.27 states/eV/f.u.
**Formation energy**: -0.223 eV/atom

=====

Entry 5:
The following is a DFT calculation (PBE) of an optimized crystal structure of DySc3Sn.

a b c (Å): 10.293 3.459 14.344
angles (deg): 90.00 90.00 90.00
Space group Pnma (No. 62)
Symmetry-distinct sites (fractional):
Dy  0.148  0.250  0.032 x4
Sc  0.103  0.250  0.430 x4
Sc  0.123  0.750  0.243 x4
Sc  0.129  0.750  0.823 x4
Sn  0.124  0.250  0.641 x4

**M_tot**: 0.00 μB/cell
**Raw total energy**: -5.814 eV/atom
**D(E_F)**: 8.09 states/eV/f.u.
**Formation energy**: -0.295 eV/atom

=====

Entry 6:
The following is a DFT calculation (PBE) of an optimized crystal structure of DyScSn2.

a b c (Å): 4.221 5.984 8.178
angles (deg): 90.00 90.00 90.00
Space group Pmc2_1 (No. 26)
Symmetry-distinct sites (fractional):
Dy  0.000  0.123  0.000 x2
Sc  0.500  0.379  0.633 x2
Sn  0.000  0.411  0.361 x2
Sn  0.500  0.085  0.271 x2

**M_tot**: 0.00 μB/cell
**Raw total energy**: -5.360 eV/atom
**D(E_F)**: 2.71 states/eV/f.u.
**Formation energy**: -0.625 eV/atom

=====

Entry 7:
The following is a DFT calculation (PBE) of an optimized crystal structure of DyScSn.

a b c (Å): 3.799 3.799 10.716
angles (deg): 90.00 90.00 90.00
Space group I4mm (No. 107)
Symmetry-distinct sites (fractional):
Dy  0.000  0.000  0.000 x2
Sc  0.000  0.000  0.686 x2
Sn  0.000  0.000  0.327 x2

**M_tot**: 2.89 μB/cell
**Raw total energy**: -5.383 eV/atom
**Distance to the lowest polymorph of the same formula**: 0.224 eV per atom
**D(E_F)**: 2.42 states/eV/f.u.
**Formation energy**: -0.404 eV/atom

=====

Entry 8:
The following is a DFT calculation (PBE) of an optimized crystal structure of DySc2Sn.

a b c (Å): 3.3161 3.3161 33.6402
angles (deg): 90.00 90.00 120.00
Space group R-3m (No. 166, hexagonal axes)
Symmetry-distinct sites (fractional):
Dy  0.0000  0.0000  0.0000 x3
Sc  0.0000  0.0000  0.0950 x6
Sn  0.0000  0.0000  0.5000 x3

**M_tot**: 4.16 μB/cell
**Raw total energy**: -5.283 eV/atom
**Distance to the lowest polymorph of the same formula**: 0.494 eV per atom
**D(E_F)**: 6.54 states/eV/f.u.
**Formation energy**: 0.034 eV/atom

=====

Entry 9:
The following is a DFT calculation (PBE) of an optimized crystal structure of DySc2Sn.

a b c (Å): 4.141 11.765 8.732
angles (deg): 90.00 90.00 90.00
Space group Cmcm (No. 63)
Symmetry-distinct sites (fractional):
Dy  0.000  0.053  0.250 x4
Sc  0.000  0.366  0.053 x8
Sn  0.000  0.240  0.750 x4

**M_tot**: 0.00 μB/cell
**Raw total energy**: -5.698 eV/atom
**Distance to the lowest polymorph of the same formula**: 0.079 eV per atom
**D(E_F)**: 5.42 states/eV/f.u.
**Formation energy**: -0.381 eV/atom

=====

Entry 10:
The following is a DFT calculation (PBE) of an optimized crystal structure of Dy6ScSn10.

a b c (Å): 9.1391 9.1391 6.2764
angles (deg): 90.00 90.00 120.00
Space group P-31m (No. 162)
Symmetry-distinct sites (fractional):
Dy  0.0000  0.3919  0.2623 x6
Sc  0.0000  0.0000  0.5000 x1
Sn  0.0000  0.2472  0.8023 x6
Sn  0.3333  0.6667  0.0000 x2
Sn  0.3333  0.6667  0.5000 x2

**M_tot**: 0.00 μB/cell
**Raw total energy**: -4.876 eV/atom
**D(E_F)**: 10.67 states/eV/f.u.
**Formation energy**: -0.524 eV/atom

=====

Entry 11:
The following is a DFT calculation (PBE) of an optimized crystal structure of DyScSn2.

a b c (Å): 3.6732 3.6732 27.0075
angles (deg): 90.00 90.00 120.00
Space group R-3m (No. 166, hexagonal axes)
Symmetry-distinct sites (fractional):
Dy  0.0000  0.0000  0.0000 x3
Sc  0.0000  0.0000  0.5000 x3
Sn  0.0000  0.0000  0.2461 x6

**M_tot**: 0.00 μB/cell
**Raw total energy**: -5.221 eV/atom
**D(E_F)**: 1.64 states/eV/f.u.
**Formation energy**: -0.486 eV/atom

=====

Entry 12:
The following is a DFT calculation (PBE) of an optimized crystal structure of DyScSn.

a b c (Å): 4.9412 4.9412 3.7541
angles (deg): 90.00 90.00 120.00
Space group P3m1 (No. 156)
Symmetry-distinct sites (fractional):
Dy  0.0000  0.0000  0.0000 x1
Sc  0.6667  0.3333  0.4783 x1
Sn  0.3333  0.6667  0.5603 x1

**M_tot**: 0.00 μB/cell
**Raw total energy**: -5.378 eV/atom
**Distance to the lowest polymorph of the same formula**: 0.229 eV per atom
**D(E_F)**: 1.74 states/eV/f.u.
**Formation energy**: -0.399 eV/atom